1.
The following is a DFT calculation (PBE) of a relaxed structure of AcGd2Ho.

Cell lengths 12.858, 12.858, 12.858 Å; angles 16.11, 16.11, 16.11 degrees
Fractional positions:
Ac 0.000 0.000 0.000
Gd 0.093 0.093 0.093
Gd 0.907 0.907 0.907
Ho 0.500 0.500 0.500

- energy above the lowest structure with this stoichiometry (eV per formula unit) = 0.499
- formation energy (eV/atom) = 0.171
- mass density (g/cm³) = 8.22

***

2.
The following is a DFT calculation (PBE) of a relaxed structure of AcGd2Ho.

Cell lengths 5.183, 5.183, 5.204 Å; angles 90.00, 90.00, 90.00 degrees
Fractional positions:
Ac 0.000 0.000 0.000
Gd 0.000 0.500 0.500
Gd 0.500 0.000 0.500
Ho 0.500 0.500 0.000

- energy above the lowest structure with this stoichiometry (eV per formula unit) = 0.000
- formation energy (eV/atom) = 0.046
- mass density (g/cm³) = 8.39

***

3.
The following is a DFT calculation (PBE) of a relaxed structure of AcGd2Ho.

Cell lengths 5.841, 5.841, 5.841 Å; angles 60.00, 60.00, 60.00 degrees
Fractional positions:
Ac 0.000 0.000 0.000
Gd 0.250 0.250 0.250
Gd 0.750 0.750 0.750
Ho 0.500 0.500 0.500

- energy above the lowest structure with this stoichiometry (eV per formula unit) = 0.297
- formation energy (eV/atom) = 0.121
- mass density (g/cm³) = 8.33

***

4.
The following is a DFT calculation (PBE) of a relaxed structure of Ac2GdHo.

Cell lengths 13.228, 13.228, 13.228 Å; angles 16.19, 16.19, 16.19 degrees
Fractional positions:
Ac 0.089 0.089 0.089
Ac 0.911 0.911 0.911
Gd 0.000 0.000 0.000
Ho 0.500 0.500 0.500

- energy above the lowest structure with this stoichiometry (eV per formula unit) = 0.708
- formation energy (eV/atom) = 0.221
- mass density (g/cm³) = 8.21

***

5.
The following is a DFT calculation (PBE) of a relaxed structure of Ac2GdHo.

Cell lengths 3.852, 3.852, 10.212 Å; angles 90.00, 90.00, 90.00 degrees
Fractional positions:
Ac 0.000 0.000 0.246
Ac 0.000 0.000 0.754
Gd 0.500 0.500 0.500
Ho 0.500 0.500 0.000

- energy above the lowest structure with this stoichiometry (eV per formula unit) = 0.000
- formation energy (eV/atom) = 0.044
- mass density (g/cm³) = 8.51

***

6.
The following is a DFT calculation (PBE) of a relaxed structure of AcGdHoIn.

Cell lengths 5.663, 5.663, 5.663 Å; angles 60.00, 60.00, 60.00 degrees
Fractional positions:
Ac 0.000 0.000 0.000
Gd 0.500 0.500 0.500
Ho 0.250 0.250 0.250
In 0.750 0.750 0.750

- formation energy (eV/atom) = -0.117
- mass density (g/cm³) = 8.59

***

7.
The following is a DFT calculation (PBE) of a relaxed structure of AcPmGdHo.

Cell lengths 5.866, 5.866, 5.866 Å; angles 60.00, 60.00, 60.00 degrees
Fractional positions:
Ac 0.000 0.000 0.000
Pm 0.500 0.500 0.500
Gd 0.750 0.750 0.750
Ho 0.250 0.250 0.250

- formation energy (eV/atom) = 0.114
- mass density (g/cm³) = 8.08

***

8.
The following is a DFT calculation (PBE) of a relaxed structure of AcPrGdHo.

Cell lengths 5.898, 5.898, 5.898 Å; angles 60.00, 60.00, 60.00 degrees
Fractional positions:
Ac 0.000 0.000 0.000
Pr 0.750 0.750 0.750
Gd 0.250 0.250 0.250
Ho 0.500 0.500 0.500

- formation energy (eV/atom) = 0.144
- mass density (g/cm³) = 7.90

***

> Which of these has the lowest mass density?

AcPrGdHo

***

> What is the formula in the fifth record?

Ac2GdHo

***

Repeat the third record exactly.
The following is a DFT calculation (PBE) of a relaxed structure of AcGd2Ho.

Cell lengths 5.841, 5.841, 5.841 Å; angles 60.00, 60.00, 60.00 degrees
Fractional positions:
Ac 0.000 0.000 0.000
Gd 0.250 0.250 0.250
Gd 0.750 0.750 0.750
Ho 0.500 0.500 0.500

- energy above the lowest structure with this stoichiometry (eV per formula unit) = 0.297
- formation energy (eV/atom) = 0.121
- mass density (g/cm³) = 8.33